1.
# TaCrGaRh | Alexandria | PBE-GGA | optimized geometry
data_TaCrGaRh
_space_group_name_H-M_alt 'F -4 3 m'
_space_group_IT_number 216
_space_group_name_Hall 'F -4 2 3'
_cell_length_a 6.1626
_cell_length_b 6.1626
_cell_length_c 6.1626
_cell_angle_alpha 90.00
_cell_angle_beta 90.00
_cell_angle_gamma 90.00
loop_
_atom_site_label
_atom_site_type_symbol
_atom_site_fract_x
_atom_site_fract_y
_atom_site_fract_z
_atom_site_occupancy
Ta1 Ta 0.0000 0.0000 0.0000 1
Cr1 Cr 0.2500 0.2500 0.7500 1
Ga1 Ga 0.0000 0.0000 0.5000 1
Rh1 Rh 0.2500 0.2500 0.2500 1
# crystal system	cubic
# theoretical density	11.510	g cm⁻³
# final energy	-8.22	eV/atom
# density of states at the Fermi level	4.539	states/eV/f.u.



2.
# AcLaNi | Alexandria | PBE-GGA | optimized geometry
data_AcLaNi
_space_group_name_H-M_alt 'P 3 m 1'
_space_group_IT_number 156
_cell_length_a 4.1341
_cell_length_b 4.1341
_cell_length_c 6.7388
_cell_angle_alpha 90.00
_cell_angle_beta 90.00
_cell_angle_gamma 120.00
loop_
_space_group_symop_operation_xyz
'x,y,z'
'-y,x-y,z'
'-x+y,-x,z'
'-y,-x,z'
'-x+y,y,z'
'x,x-y,z'
loop_
_atom_site_label
_atom_site_type_symbol
_atom_site_fract_x
_atom_site_fract_y
_atom_site_fract_z
_atom_site_occupancy
Ac1 Ac 0.0000 0.0000 0.0000 1
La1 La 0.6667 0.3333 0.5163 1
Ni1 Ni 0.3333 0.6667 0.7433 1
# crystal system	trigonal
# theoretical density	7.069	g cm⁻³
# final energy	-5.09	eV/atom
# polymorph energy (0 for the lowest one)	0.058	eV/atom
# density of states at the Fermi level	3.066	states/eV/f.u.



3.
# BaZnAu3 | Alexandria | PBE-GGA | optimized geometry
data_BaZnAu3
_space_group_name_H-M_alt 'P m -3 m'
_space_group_IT_number 221
_space_group_name_Hall '-P 4 2 3'
_cell_length_a 5.0676
_cell_length_b 5.0676
_cell_length_c 5.0676
_cell_angle_alpha 90.00
_cell_angle_beta 90.00
_cell_angle_gamma 90.00
loop_
_atom_site_label
_atom_site_type_symbol
_atom_site_fract_x
_atom_site_fract_y
_atom_site_fract_z
_atom_site_occupancy
Ba1 Ba 0.0000 0.0000 0.0000 1
Zn1 Zn 0.5000 0.5000 0.5000 1
Au1 Au 0.0000 0.5000 0.5000 1
# crystal system	cubic
# theoretical density	10.127	g cm⁻³
# final energy	-3.02	eV/atom
# polymorph energy (0 for the lowest one)	0.060	eV/atom
# density of states at the Fermi level	1.671	states/eV/f.u.



no.,V (Å³/f.u.),ΔE_f (eV/atom),magnetic moment (μB per cell)
1,59,-0.258,3.9
2,100,-0.150,0.0
3,130,-0.413,0.0